# 1
VASP calculation (GGA-PBE) on crystalline Th2Al3Pd at its relaxed geometry.

Cell lengths 8.3149, 8.3149, 8.3149 Å; angles 150.81, 150.02, 42.34 degrees
Positions (direct):
Th  0.0000  0.0000  0.0000
Th  0.7527  0.2527  0.5000
Al  0.1663  0.6663  0.5000
Al  0.3320  0.8320  0.5000
Al  0.4213  0.4213  0.0000
Pd  0.5832  0.5832  0.0000

Summary:
Its total energy is -5.752 eV/atom. The formation energy comes out at -542 meV per atom. As for the symmetry: Imm2.

***

# 2
VASP calculation (GGA-PBE) on crystalline ThAlPd6 at its relaxed geometry.

Cell lengths 7.0942, 7.0942, 7.0942 Å; angles 45.64, 45.64, 45.64 degrees
Positions (direct):
Th  0.0000  0.0000  0.0000
Al  0.5000  0.5000  0.5000
Pd  0.0637  0.5760  0.5760
Pd  0.4240  0.4240  0.9363
Pd  0.4240  0.9363  0.4240
Pd  0.5760  0.0637  0.5760
Pd  0.5760  0.5760  0.0637
Pd  0.9363  0.4240  0.4240

Summary:
Its total energy is -5.687 eV/atom. Its energy above the most stable polymorph in this dataset is 0.393 eV per atom. The formation energy comes out at -397 meV per atom. As for the symmetry: R-3m.

***

# 3
VASP calculation (GGA-PBE) on crystalline Th4AlPd at its relaxed geometry.

Cell lengths 7.5293, 7.5293, 5.7668 Å; angles 90.00, 90.00, 90.00 degrees
Positions (direct):
Th  0.1561  0.3382  0.0000
Th  0.1561  0.6618  0.5000
Th  0.3382  0.1561  0.5000
Th  0.3382  0.8439  0.0000
Th  0.6618  0.1561  0.0000
Th  0.6618  0.8439  0.5000
Th  0.8439  0.3382  0.5000
Th  0.8439  0.6618  0.0000
Al  0.5000  0.5000  0.2500
Al  0.5000  0.5000  0.7500
Pd  0.0000  0.0000  0.2500
Pd  0.0000  0.0000  0.7500

Summary:
Its total energy is -6.803 eV/atom. The formation energy comes out at -368 meV per atom. As for the symmetry: P4/mcc.